Entry 1:
Here is crystalline Ta2Nb2Au at its relaxed geometry from the Alexandria database. Energies are from PBE.

Symmetry: P4/mbm
Crystal system: tetragonal
Energy of formation from the pure elements, eV/atom: 0.3093
Fermi-level density of states, states/eV per atom: 0.68
Uncorrected energy, eV for the cell shown: -91.2
Total moment, μB/cell: 0.00

a b c (Å): 7.2218 7.2218 3.6612
angles (deg): 90.00 90.00 90.00
Last column: nearest neighbours and their distance in Å.
Positions (direct):
1 Ta 0.1304 0.3696 0.0000  1 Ta 2.66, 6 Nb 2.74-2.85, 2 Au 2.83
2 Nb 0.3298 0.1702 0.5000  6 Ta 2.74-2.85
3 Nb 0.8298 0.3298 0.5000  6 Ta 2.74-2.85
4 Nb 0.1702 0.6702 0.5000  6 Ta 2.74-2.85
5 Nb 0.6702 0.8298 0.5000  6 Ta 2.74-2.85
6 Ta 0.8696 0.6304 0.0000  1 Ta 2.66, 6 Nb 2.74-2.85, 2 Au 2.83
7 Au 0.0000 0.0000 0.0000  4 Ta 2.83
8 Ta 0.6304 0.1304 0.0000  1 Ta 2.66, 6 Nb 2.74-2.85, 2 Au 2.83
9 Ta 0.3696 0.8696 0.0000  1 Ta 2.66, 6 Nb 2.74-2.85, 2 Au 2.83
10 Au 0.5000 0.5000 0.0000  4 Ta 2.83

Entry 2:
Here is crystalline Ta3Nb3Au at its relaxed geometry from the Alexandria database. Energies are from PBE.

Symmetry: P-1
Crystal system: triclinic
Energy of formation from the pure elements, eV/atom: -0.0359
Fermi-level density of states, states/eV per atom: 0.94
Uncorrected energy, eV for the cell shown: -138.6
Total moment, μB/cell: 0.00

a b c (Å): 5.7515 7.1648 7.4034
angles (deg): 59.32 74.65 82.86
Last column: nearest neighbours and their distance in Å.
Positions (direct):
1 Nb 0.6807 0.2131 0.8603  4 Ta 2.80-2.82, 3 Nb 2.85-2.89, 1 Au 2.90
2 Nb 0.1086 0.9281 0.7137  6 Ta 2.81-2.95, 2 Nb 2.83-2.89
3 Au 0.5421 0.6496 0.5745  5 Ta 2.84-2.93, 2 Nb 2.90, 1 Au 3.00
4 Nb 0.1774 0.2156 0.8617  5 Nb 2.83-2.89, 2 Ta 2.85-2.87, 1 Au 2.90
5 Ta 0.2416 0.5048 0.0027  4 Ta 2.80-2.95, 3 Nb 2.81-2.85, 1 Au 2.88
6 Ta 0.3826 0.0755 0.2742  5 Nb 2.80-2.95, 2 Au 2.84-2.93, 1 Ta 2.85
7 Au 0.4579 0.3504 0.4255  5 Ta 2.84-2.93, 2 Nb 2.90, 1 Au 3.00
8 Ta 0.9518 0.3546 0.4337  4 Nb 2.82-2.88, 2 Au 2.86-2.89, 2 Ta 2.87-2.88
9 Ta 0.0482 0.6454 0.5663  4 Nb 2.82-2.88, 2 Au 2.86-2.89, 2 Ta 2.87-2.88
10 Ta 0.7584 0.4952 0.9973  4 Ta 2.80-2.95, 3 Nb 2.81-2.85, 1 Au 2.88
11 Ta 0.6174 0.9245 0.7258  5 Nb 2.80-2.95, 2 Au 2.84-2.93, 1 Ta 2.85
12 Nb 0.8226 0.7844 0.1383  5 Nb 2.83-2.89, 2 Ta 2.85-2.87, 1 Au 2.90
13 Nb 0.8914 0.0719 0.2863  6 Ta 2.81-2.95, 2 Nb 2.83-2.89
14 Nb 0.3193 0.7869 0.1397  4 Ta 2.80-2.82, 3 Nb 2.85-2.89, 1 Au 2.90

Entry 3:
Here is crystalline Ta4Nb3Au at its relaxed geometry from the Alexandria database. Energies are from PBE.

Symmetry: Pmmm
Crystal system: orthorhombic
Energy of formation from the pure elements, eV/atom: -0.0328
Fermi-level density of states, states/eV per atom: 1.04
Uncorrected energy, eV for the cell shown: -81.2
Total moment, μB/cell: 0.00

a b c (Å): 3.3862 4.6956 9.1039
angles (deg): 90.00 90.00 90.00
Last column: nearest neighbours and their distance in Å.
Positions (direct):
1 Ta 0.0000 0.5000 0.7456  6 Nb 2.80-2.90, 2 Au 2.87
2 Nb 0.5000 0.5000 0.5000  8 Ta 2.80-2.89
3 Au 0.5000 0.5000 0.0000  8 Ta 2.87-2.89
4 Nb 0.5000 0.0000 0.7544  8 Ta 2.80-2.90
5 Ta 0.0000 0.5000 0.2544  6 Nb 2.80-2.90, 2 Au 2.87
6 Ta 0.0000 0.0000 0.0000  4 Nb 2.80, 4 Au 2.89
7 Nb 0.5000 0.0000 0.2456  8 Ta 2.80-2.90
8 Ta 0.0000 0.0000 0.5000  8 Nb 2.87-2.89